No. 1
Material: Pa4PSe2S
Method: DFT, GGA-PBE
State: relaxed

a = 3.992 Å, b = 6.658 Å, c = 7.215 Å
α = 109.32°, β = 90.00°, γ = 90.00°
Positions (direct):
1 Pa 0.500 0.240 0.229
2 Pa 0.500 0.760 0.771
3 Pa 0.000 0.254 0.769
4 Pa 0.000 0.746 0.231
5 P 0.500 0.500 0.000
6 Se 0.500 0.000 0.500
7 Se 0.000 0.500 0.500
8 S 0.000 0.000 0.000

Results
Its uncorrected formation energy is -10.9 eV per formula unit. Its total energy is -8.1714 eV per atom. The density of states at the Fermi level comes out at 13.7 states/eV/f.u.


No. 2
Material: Pa4Te2PS
Method: DFT, GGA-PBE
State: relaxed

a = 4.054 Å, b = 6.997 Å, c = 7.435 Å
α = 108.43°, β = 90.00°, γ = 90.00°
Positions (direct):
1 Pa 0.500 0.232 0.202
2 Pa 0.500 0.768 0.798
3 Pa 0.000 0.264 0.796
4 Pa 0.000 0.736 0.204
5 Te 0.500 0.000 0.500
6 Te 0.000 0.500 0.500
7 P 0.500 0.500 0.000
8 S 0.000 0.000 0.000

Results
Its uncorrected formation energy is -8.7 eV per formula unit. Its total energy is -7.8073 eV per atom. The density of states at the Fermi level comes out at 15.2 states/eV/f.u.


No. 3
Material: ThPaPS
Method: DFT, GGA-PBE
State: relaxed

a = 4.913 Å, b = 4.913 Å, c = 4.913 Å
α = 60.00°, β = 60.00°, γ = 60.00°
Positions (direct):
1 P 0.000 0.000 0.000
2 S 0.500 0.500 0.500
3 Pa 0.250 0.250 0.250
4 Th 0.750 0.750 0.750

Results
Its uncorrected formation energy is -4.9 eV per formula unit. The value obtained for the energy above the most stable polymorph in this dataset is 219 meV/atom. Its total energy is -7.8267 eV per atom. The density of states at the Fermi level comes out at 4.5 states/eV/f.u.


Q: Which of these has the lowest density of states at the Fermi level?
A: ThPaPS